No. 1
{"formula": "TcAgIr2", "functional": "PBE-GGA", "state": "optimized geometry", "polymorph_energy_mev_per_atom": 261.7, "crystal_system": "orthorhombic", "e_form_ev_per_atom": 0.316, "lattice_angstrom": [[1.3948, -2.3513, 0.0000], [1.3948, 2.3513, 0.0000], [0.0000, 0.0000, 9.5046]], "species": ["Tc", "Ag", "Ir", "Ir"], "frac_coords": [[0.0000, 0.0000, 0.0000], [0.0000, 0.0000, 0.5000], [0.5000, 0.5000, 0.2355], [0.5000, 0.5000, 0.7645]]}

***

No. 2
{"formula": "TcAgIr2", "functional": "PBE-GGA", "state": "optimized geometry", "polymorph_energy_mev_per_atom": 297.5, "crystal_system": "orthorhombic", "e_form_ev_per_atom": 0.352, "lattice_angstrom": [[2.7962, -3.9159, 0.0000], [2.7962, 3.9159, 0.0000], [0.0000, 0.0000, 2.7641]], "species": ["Tc", "Ag", "Ir", "Ir"], "frac_coords": [[0.0000, 0.0000, 0.0000], [0.5000, 0.5000, 0.0000], [0.0000, 0.5000, 0.5000], [0.5000, 0.0000, 0.5000]]}

***

No. 3
{"formula": "TcAgIr2", "functional": "PBE-GGA", "state": "optimized geometry", "polymorph_energy_mev_per_atom": 0.0, "crystal_system": "tetragonal", "e_form_ev_per_atom": 0.055, "lattice_angstrom": [[2.7777, 0.0000, 0.0000], [0.0000, 2.7777, 0.0000], [0.0000, 0.0000, 7.9283]], "species": ["Tc", "Ag", "Ir", "Ir"], "frac_coords": [[0.0000, 0.0000, 0.0000], [0.0000, 0.0000, 0.5000], [0.5000, 0.5000, 0.2279], [0.5000, 0.5000, 0.7721]]}

***

No. 4
{"formula": "TcAgIr2", "functional": "PBE-GGA", "state": "optimized geometry", "polymorph_energy_mev_per_atom": 224.8, "crystal_system": "orthorhombic", "e_form_ev_per_atom": 0.279, "lattice_angstrom": [[2.7403, 0.0000, 0.0000], [0.0000, 3.9632, 0.0000], [0.0000, 0.0000, 5.6092]], "species": ["Tc", "Ag", "Ir", "Ir"], "frac_coords": [[0.0000, 0.0000, 0.0000], [0.5000, 0.5000, 0.2771], [0.0000, 0.0000, 0.5350], [0.5000, 0.5000, 0.7870]]}

***

No. 5
{"formula": "TcAgIr2", "functional": "PBE-GGA", "state": "optimized geometry", "polymorph_energy_mev_per_atom": 179.7, "crystal_system": "tetragonal", "e_form_ev_per_atom": 0.234, "lattice_angstrom": [[2.7387, 0.0000, 0.0000], [0.0000, 2.7387, 0.0000], [0.0000, 0.0000, 8.1364]], "species": ["Tc", "Ag", "Ir", "Ir"], "frac_coords": [[0.0000, 0.0000, 0.0000], [0.5000, 0.5000, 0.2683], [0.0000, 0.0000, 0.5333], [0.5000, 0.5000, 0.7702]]}

***

No. 6
{"formula": "VTcAgIr2", "functional": "PBE-GGA", "state": "optimized geometry", "crystal_system": "tetragonal", "e_form_ev_per_atom": 1.168, "lattice_angstrom": [[4.5620, 0.0000, 0.0000], [0.0000, 4.5620, 0.0000], [0.0000, 0.0000, 4.4320]], "species": ["V", "Tc", "Ag", "Ir", "Ir"], "frac_coords": [[0.0000, 0.0000, 0.0000], [0.0000, 0.0000, 0.5000], [0.5000, 0.5000, 0.5000], [0.0000, 0.5000, 0.0000], [0.5000, 0.0000, 0.0000]]}

***

No. 7
{"formula": "AgTe2Ir", "functional": "PBE-GGA", "state": "optimized geometry", "formation_energy_uncorrected_mev_per_atom": 130, "polymorph_energy_mev_per_atom": 249.0, "crystal_system": "tetragonal", "lattice_angstrom": [[-3.2151, 3.2151, 5.6205], [3.2151, -3.2151, 5.6205], [3.2151, 3.2151, -5.6205]], "species": ["Ag", "Ag", "Te", "Te", "Te", "Te", "Ir", "Ir"], "frac_coords": [[0.0000, 0.0000, 0.0000], [0.7500, 0.2500, 0.5000], [0.1575, 0.6250, 0.0325], [0.3750, 0.4075, 0.5325], [0.5925, 0.1250, 0.9675], [0.8750, 0.8425, 0.4675], [0.2500, 0.7500, 0.5000], [0.5000, 0.5000, 0.0000]]}

***

No. 8
{"formula": "AgTe2Ir", "functional": "PBE-GGA", "state": "optimized geometry", "formation_energy_uncorrected_mev_per_atom": 87, "polymorph_energy_mev_per_atom": 206.1, "crystal_system": "monoclinic", "lattice_angstrom": [[4.9162, -1.9552, 0.0000], [4.9162, 1.9552, 0.0000], [-1.4205, 0.0000, 5.5054]], "species": ["Ag", "Te", "Te", "Ir"], "frac_coords": [[0.0000, 0.0000, 0.0000], [0.6874, 0.6874, 0.7942], [0.8677, 0.8677, 0.4065], [0.2909, 0.2909, 0.0992]]}

***

Number 1: spin magnetization 0.41 μB/cell. Number 2: spin magnetization 0.00 μB/cell. Number 3: spin magnetization 0.00 μB/cell. Number 4: spin magnetization 0.00 μB/cell. Number 5: spin magnetization 0.00 μB/cell. Number 6: spin magnetization 1.65 μB/cell. Number 7: spin magnetization 0.00 μB/cell. Number 8: spin magnetization 0.00 μB/cell.